Computed, not measured: an optimized crystal structure of Cs2PmPbI6 at the GGA-PBE level of DFT.

Lattice parameters (Å, degrees): 8.6836 12.5567 9.9244 90.00 90.00 90.00
Last column: nearest neighbours and their distance in Å.
Element x y z (fractional)
Cs (0.2500, 0.0254, 0.1983)  9 I 4.09-4.51
Cs (0.2500, 0.4746, 0.1983)  9 I 4.09-4.51
Cs (0.7500, 0.5254, 0.8017)  9 I 4.09-4.51
Cs (0.7500, 0.9746, 0.8017)  9 I 4.09-4.51
Pm (0.2500, 0.7500, 0.7702)  6 I 3.08-3.14
Pm (0.7500, 0.2500, 0.2298)  6 I 3.08-3.14
Pb (0.2500, 0.2500, 0.7201)  6 I 3.23-3.54
Pb (0.7500, 0.7500, 0.2799)  6 I 3.23-3.54
I (0.0040, 0.7500, 0.0014)  1 Pm 3.14
I (0.0113, 0.2500, 0.4401)  1 Pm 3.08
I (0.2500, 0.5024, 0.7800)  1 Pm 3.11, 1 Pb 3.23
I (0.2500, 0.9976, 0.7800)  1 Pm 3.11, 1 Pb 3.23
I (0.4887, 0.2500, 0.4401)  1 Pm 3.08
I (0.4960, 0.7500, 0.0014)  1 Pm 3.14
I (0.5040, 0.2500, 0.9986)  1 Pm 3.14
I (0.5113, 0.7500, 0.5599)  1 Pm 3.08
I (0.7500, 0.0024, 0.2200)  1 Pm 3.11, 1 Pb 3.23
I (0.7500, 0.4976, 0.2200)  1 Pm 3.11, 1 Pb 3.23
I (0.9887, 0.7500, 0.5599)  1 Pm 3.08
I (0.9960, 0.2500, 0.9986)  1 Pm 3.14

Output
The space-group type is Pmmn.

Computed, not measured: an optimized crystal structure of CsPmPb2I8 at the GGA-PBE level of DFT.

Lattice parameters (Å, degrees): 7.5099 7.8993 10.0899 89.84 89.75 88.58
Last column: nearest neighbours and their distance in Å.
Element x y z (fractional)
Cs (0.0000, 0.0000, 0.0000)  6 I 3.69-3.72
Pm (0.0000, 0.0000, 0.5000)  6 I 3.10-3.19
Pb (0.4999, 0.5003, 0.2484)  6 I 3.19-3.51
Pb (0.5001, 0.4997, 0.7516)  6 I 3.19-3.51
I (0.2380, 0.3283, 0.5001)  1 Pm 3.19, 2 Pb 3.50-3.51
I (0.2554, 0.8429, 0.7103)  1 Pm 3.10, 1 Pb 3.26
I (0.2569, 0.8446, 0.2889)  1 Pm 3.10, 1 Pb 3.26
I (0.2660, 0.3910, 0.0015)  2 Pb 3.19-3.20
I (0.7340, 0.6090, 0.9985)  2 Pb 3.19-3.20
I (0.7431, 0.1554, 0.7111)  1 Pm 3.10, 1 Pb 3.26
I (0.7446, 0.1571, 0.2897)  1 Pm 3.10, 1 Pb 3.26
I (0.7620, 0.6717, 0.4999)  1 Pm 3.19, 2 Pb 3.50-3.51

Output
The space-group type is P-1.

Which electronic total energy belongs to each record? In order, -3.104; -3.117 eV/atom.
Which density of states at the Fermi level belongs to each record? In order, 0.25; 0.00 states/eV/atom.
Which formation energy (no corrections) belongs to each record? In order, -1.1568; -0.9985 eV per atom.